# PrMgTlCd PBE relaxed
data_PrMgTlCd
_cell_length_a 7.497
_cell_length_b 7.497
_cell_length_c 7.497
_cell_angle_alpha 90.00
_cell_angle_beta 90.00
_cell_angle_gamma 90.00
_symmetry_space_group_name_H-M 'F -4 3 m'
_symmetry_Int_Tables_number 216
_symmetry_space_group_name_Hall 'F -4 2 3'
loop_
_atom_site_label
_atom_site_type_symbol
_atom_site_fract_x
_atom_site_fract_y
_atom_site_fract_z
Pr1 Pr 0.000 0.000 0.000
Mg1 Mg 0.000 0.000 0.500
Tl1 Tl 0.250 0.250 0.250
Cd1 Cd 0.250 0.250 0.750
# Total magnetization (μB per cell): 0.0

=====

# KCrGa3 PBE relaxed
data_KCrGa3
_cell_length_a 5.385
_cell_length_b 5.385
_cell_length_c 5.385
_cell_angle_alpha 90.00
_cell_angle_beta 90.00
_cell_angle_gamma 90.00
_symmetry_space_group_name_H-M 'P m -3 m'
_symmetry_Int_Tables_number 221
_symmetry_space_group_name_Hall '-P 4 2 3'
loop_
_atom_site_label
_atom_site_type_symbol
_atom_site_fract_x
_atom_site_fract_y
_atom_site_fract_z
K1 K 0.000 0.000 0.000
Cr1 Cr 0.500 0.500 0.500
Ga1 Ga 0.000 0.000 0.500
# Total magnetization (μB per cell): 1.1

=====

# ZrCd3Os PBE relaxed
data_ZrCd3Os
_cell_length_a 5.076
_cell_length_b 5.076
_cell_length_c 5.076
_cell_angle_alpha 90.00
_cell_angle_beta 90.00
_cell_angle_gamma 90.00
_symmetry_space_group_name_H-M 'P m -3 m'
_symmetry_Int_Tables_number 221
_symmetry_space_group_name_Hall '-P 4 2 3'
loop_
_atom_site_label
_atom_site_type_symbol
_atom_site_fract_x
_atom_site_fract_y
_atom_site_fract_z
Zr1 Zr 0.000 0.000 0.000
Cd1 Cd 0.000 0.500 0.500
Os1 Os 0.500 0.500 0.500
# Total magnetization (μB per cell): 1.6

=====

# Ac2La4SmDy PBE relaxed
data_Ac2La4SmDy
_cell_length_a 5.290
_cell_length_b 5.348
_cell_length_c 10.677
_cell_angle_alpha 90.00
_cell_angle_beta 90.11
_cell_angle_gamma 90.00
_symmetry_space_group_name_H-M 'P 1 2/m 1'
_symmetry_Int_Tables_number 10
loop_
_symmetry_equiv_pos_as_xyz
'x,y,z'
'-x,-y,-z'
'-x,y,-z'
'x,-y,z'
loop_
_atom_site_label
_atom_site_type_symbol
_atom_site_fract_x
_atom_site_fract_y
_atom_site_fract_z
Ac1 Ac 0.000 0.000 0.000
Ac2 Ac 0.500 0.500 0.500
La1 La 0.001 0.500 0.750
La2 La 0.499 0.000 0.748
Sm1 Sm 0.500 0.500 0.000
Dy1 Dy 0.000 0.000 0.500
# Total magnetization (μB per cell): 0.0

=====

Number 1: VASP energy -0.200 Ry per atom, mass density 7.60 g/cm3, energy of formation -0.301 eV per atom. Number 2: VASP energy -0.147 Ry per atom, mass density 3.19 g/cm3, energy of formation 1.957 eV per atom. Number 3: VASP energy -0.254 Ry per atom, mass density 7.85 g/cm3, energy of formation 1.044 eV per atom. Number 4: VASP energy -0.340 Ry per atom, mass density 7.27 g/cm3, energy of formation 0.034 eV per atom.